This record from the Open Quantum Materials Database describes an optimized crystal structure of Er. The functional is PBE-GGA.

Cell: 6.336 6.336 6.336 Å, 90.00 90.00 90.00°
Space group Pm-3n (No. 223)
Unique sites:
Er (0.000, 0.000, 0.000) (multiplicity 2)
Er (0.000, 0.250, 0.500) (multiplicity 6)

Values from the calculation:
Calculated density (g cm⁻³): 8.74
Size of the total moment (μB per atom): 0.8382
Energy above the lowest structure with this stoichiometry (meV/atom): 261.5
Volume (A^3/atom): 31.79
Formation energy from the elements (eV per atom): 0.26